Computed, not measured: a relaxed TmAg2Br5 crystal at the PBE-GGA level of DFT.

Geometry as extended XYZ:
```
8
Lattice="4.9826 -0.0013 2.5930 2.6527 6.9994 0.7468 -0.9178 0.7160 7.4995" Properties=species:S:1:pos:R:3 pbc="T T T"
Ag 4.1835 3.7339 2.1947
Ag 2.3991 0.6299 5.4682
Br 3.0735 6.1599 6.8157
Br 0.3402 3.0931 6.3774
Br 2.1326 5.1700 2.7457
Br 2.8610 0.2742 1.7484
Br 4.3926 2.0957 4.8969
Tm 0.3832 0.2652 0.4321
```

Output
ΔE_f (raw)	-1047	meV/atom
raw total energy	-0.2473	Ry/atom
spin magnetization	0.0000	μB/atom

***

Computed, not measured: a relaxed UAgBr6 crystal at the PBE-GGA level of DFT.

Geometry as extended XYZ:
```
8
Lattice="6.6419 -1.5281 -1.8176 -3.6150 6.4214 -2.3215 0.6700 0.7081 7.3959" Properties=species:S:1:pos:R:3 pbc="T T T"
Ag 0.0000 0.0000 0.0000
U -1.8075 3.2107 -1.1608
Br -0.2490 2.5990 0.9978
Br 0.3627 3.9816 -2.5070
Br 2.6642 0.9118 -1.6322
Br 3.9459 3.0025 2.2589
Br 5.7484 -0.1202 3.3696
Br -2.0515 5.7217 -0.1129
```

Output
ΔE_f (raw)	-1009	meV/atom
raw total energy	-0.2963	Ry/atom
energy above the lowest structure with this stoichiometry	0	meV/atom
spin magnetization	0.1249	μB/atom

***

Computed, not measured: a relaxed UAg3Br9 crystal at the PBE-GGA level of DFT.

Geometry as extended XYZ:
```
26
Lattice="-6.7176 -4.4126 7.0742 -9.1436 -4.9385 -3.6603 1.4386 -11.3784 2.3715" Properties=species:S:1:pos:R:3 pbc="T T T"
Br -5.5718 -13.1931 0.3669
Br -7.5791 -6.1773 2.6477
Br -13.5106 -15.7014 4.1928
Br -9.3282 -14.8232 1.1822
Br -6.1518 -4.3731 5.8157
Br -10.5771 -7.4676 -1.1418
Br -3.9791 -14.3978 3.5091
Br -6.5515 -5.4845 -1.4143
Br -3.6415 -6.2973 3.0355
Br -1.1567 -8.6364 1.4923
Br -11.2397 -8.1113 3.0600
Br -9.6393 -9.3996 6.2112
Br -4.7959 -9.1104 -0.3135
Br -11.7817 -12.4740 2.7941
Br -3.8040 -9.9225 3.8173
Br -9.2182 -11.1437 0.4385
Br -8.6013 -17.0803 8.0326
Br -7.4793 -12.1282 4.1837
Ag -9.0916 -6.8720 0.7803
Ag -9.5256 -12.4352 5.6465
Ag -13.8206 -18.1767 4.5598
Ag -5.8778 -11.4564 5.9836
Ag -9.6410 -5.8155 -2.8197
Ag -6.0607 -7.4516 1.0894
U -4.9477 -3.3582 -1.4257
U -1.9245 -8.0678 3.9785
```

Output
ΔE_f (raw)	-707	meV/atom
raw total energy	-0.2493	Ry/atom
spin magnetization	0.0000	μB/atom

***

Computed, not measured: a relaxed UAg3Br8 crystal at the PBE-GGA level of DFT.

Geometry as extended XYZ:
```
12
Lattice="6.4337 1.5975 0.0000 -1.6057 6.4317 0.0000 0.0000 0.0000 9.5260" Properties=species:S:1:pos:R:3 pbc="T T T"
Br 3.4077 5.6751 6.7118
Br 0.2253 5.3307 0.0000
Br 3.4147 5.6709 2.8142
Br 4.6027 2.6985 0.0000
Br 1.4133 2.3583 2.8142
Br 0.1496 5.3762 4.7630
Br 1.4203 2.3541 6.7118
Br 4.6784 2.6530 4.7630
Ag -0.8029 3.2158 1.3859
Ag 3.2169 0.7988 8.1401
Ag 2.4140 4.0146 0.0000
U 2.4140 4.0146 4.7630
```

Output
ΔE_f (raw)	-757	meV/atom
raw total energy	-0.2591	Ry/atom
spin magnetization	0.0833	μB/atom

***

Computed, not measured: a relaxed UAgBr6 crystal at the PBE-GGA level of DFT.

Geometry as extended XYZ:
```
8
Lattice="-3.1956 4.7735 4.1121 -6.9484 1.1183 -0.6279 -4.5062 -2.5621 5.5443" Properties=species:S:1:pos:R:3 pbc="T T T"
Br -6.4015 -1.0635 4.3266
Br -8.1646 1.5218 1.7553
Br -6.4856 1.8077 7.2731
Br -9.9531 0.7709 5.3118
Br -8.2488 4.3930 4.7018
Br -4.6972 2.5586 3.7166
Ag -7.3251 1.6648 4.5142
U 0.0000 0.0000 0.0000
```

Output
ΔE_f (raw)	-996	meV/atom
raw total energy	-0.2953	Ry/atom
energy above the lowest structure with this stoichiometry	13	meV/atom
spin magnetization	0.1250	μB/atom

***

Computed, not measured: a relaxed UAgBr5 crystal at the PBE-GGA level of DFT.

Geometry as extended XYZ:
```
14
Lattice="8.1555 0.8064 1.6384 4.2698 6.9951 1.6384 1.1463 0.7197 10.6598" Properties=species:S:1:pos:R:3 pbc="T T T"
U 0.0000 0.0000 0.0000
U 0.5732 0.3599 5.3299
Br 5.1777 6.1853 4.3034
Br 7.9618 7.6905 11.3862
Br 8.3938 2.3359 9.6333
Br 3.7588 5.0515 7.8803
Br 5.1564 4.9547 11.8135
Br 7.4417 6.3896 7.4530
Br 8.4152 3.5665 2.1231
Br 9.8128 3.4697 6.0563
Br 6.1298 2.1316 6.4836
Br 5.6098 0.8307 2.5504
Ag 6.3661 5.5655 9.6333
Ag 7.2055 2.9557 4.3034
```

Output
ΔE_f (raw)	-996	meV/atom
raw total energy	-0.3095	Ry/atom
spin magnetization	0.2857	μB/atom

***

Computed, not measured: a relaxed UAg5Br12 crystal at the PBE-GGA level of DFT.

Geometry as extended XYZ:
```
18
Lattice="7.6158 0.0000 -0.8925 3.8079 5.7615 -0.4463 -1.7165 0.0000 13.6265" Properties=species:S:1:pos:R:3 pbc="T T T"
Br 5.6870 0.0000 4.4566
Br 4.0159 1.9192 7.8276
Br 6.4068 5.7615 0.6586
Br 0.2123 0.0000 8.2773
Br 2.8784 3.8951 11.3094
Br 3.0209 3.8951 1.4247
Br 5.6914 3.8423 4.4600
Br 6.6863 1.8664 10.8630
Br 3.3004 0.0000 11.6291
Br 1.8835 1.9192 4.9064
Br 7.8238 3.8423 7.3813
Br 6.8288 1.8664 0.9783
Ag 7.6160 3.7149 -0.8926
Ag 3.8079 2.0466 -0.4463
Ag 2.9497 3.8405 6.3670
Ag 6.7576 1.9211 5.9207
Ag 2.9497 0.0001 6.3670
U 0.0000 0.0000 0.0000
```

Output
ΔE_f (raw)	-540	meV/atom
raw total energy	-0.2260	Ry/atom
spin magnetization	0.1210	μB/atom

***

Computed, not measured: a relaxed VAgBr2 crystal at the PBE-GGA level of DFT.

Geometry as extended XYZ:
```
4
Lattice="0.0000 3.5249 3.5249 3.5249 0.0000 3.5249 3.5249 3.5249 0.0000" Properties=species:S:1:pos:R:3 pbc="T T T"
Ag 3.5249 3.5249 3.5249
Br 1.7624 1.7624 1.7624
Br 5.2873 5.2873 5.2873
V 0.0000 0.0000 0.0000
```

Output
ΔE_f (raw)	174	meV/atom
raw total energy	-0.2686	Ry/atom
energy above the lowest structure with this stoichiometry	413	meV/atom
spin magnetization	0.9576	μB/atom

***

Computed, not measured: a relaxed VAgBr3 crystal at the PBE-GGA level of DFT.

Geometry as extended XYZ:
```
5
Lattice="-3.8283 3.1931 1.3335 -2.8791 -4.0424 1.4142 1.9197 0.3052 4.7804" Properties=species:S:1:pos:R:3 pbc="T T T"
Br -1.9142 1.5966 0.6668
Br -1.4395 -2.0212 0.7071
Br 0.9599 0.1526 2.3902
Ag -2.3938 -0.2721 3.7641
V 0.0000 0.0000 0.0000
```

Output
ΔE_f (raw)	-276	meV/atom
raw total energy	-0.2700	Ry/atom
energy above the lowest structure with this stoichiometry	0	meV/atom
spin magnetization	0.5879	μB/atom

***

Computed, not measured: a relaxed VAg2Br crystal at the PBE-GGA level of DFT.

Geometry as extended XYZ:
```
8
Lattice="8.0575 0.0000 0.0000 0.0000 8.0575 0.0000 4.0288 4.0288 2.6702" Properties=species:S:1:pos:R:3 pbc="T T T"
Br 0.0000 0.0000 0.0000
Br 8.0575 4.0288 1.3351
Ag 5.9640 2.0144 0.6676
Ag 10.0719 9.9928 2.0027
Ag 6.0432 6.1223 2.0027
Ag 2.0936 6.0432 0.6676
V 4.0288 8.0575 1.3351
V 4.0288 4.0288 0.0000
```

Output
ΔE_f (raw)	507	meV/atom
raw total energy	-0.2658	Ry/atom
energy above the lowest structure with this stoichiometry	0	meV/atom
spin magnetization	0.7313	μB/atom

***

Computed, not measured: a relaxed V2AgBr crystal at the PBE-GGA level of DFT.

Geometry as extended XYZ:
```
8
Lattice="-3.0418 0.8896 6.3526 -6.4138 -0.5301 -2.9969 -4.6829 -3.0102 2.1460" Properties=species:S:1:pos:R:3 pbc="T T T"
Ag 0.0000 0.0000 0.0000
Ag -6.2263 -0.9705 5.0882
V -11.6234 -1.9297 4.6216
V -3.7966 -0.2854 3.9713
V -7.2205 -2.1363 2.7920
V -5.6366 -0.9501 -0.3816
Br -7.9122 -1.6803 0.4135
Br -4.7278 0.1797 1.6778
```

Output
ΔE_f (raw)	825	meV/atom
raw total energy	-0.3576	Ry/atom
energy above the lowest structure with this stoichiometry	31	meV/atom
spin magnetization	1.4912	μB/atom

***

Computed, not measured: a relaxed VAgBr2 crystal at the PBE-GGA level of DFT.

Geometry as extended XYZ:
```
4
Lattice="7.5912 -3.0442 3.1190 7.5086 -4.4707 -0.5052 8.7140 -0.8201 0.1242" Properties=species:S:1:pos:R:3 pbc="T T T"
V 0.0000 0.0000 0.0000
Ag 11.9069 -4.1675 1.3690
Br 2.3297 -0.8154 0.2679
Br 21.4840 -7.5197 2.4701
```

Output
ΔE_f (raw)	137	meV/atom
raw total energy	-0.2714	Ry/atom
energy above the lowest structure with this stoichiometry	375	meV/atom
spin magnetization	0.9103	μB/atom

***

Computed, not measured: a relaxed VAg2Br5 crystal at the PBE-GGA level of DFT.

Geometry as extended XYZ:
```
8
Lattice="5.9235 -0.0984 3.0118 2.8325 6.5825 1.4236 -0.2024 1.1369 7.2128" Properties=species:S:1:pos:R:3 pbc="T T T"
Br 4.4566 2.1508 4.3580
Br 2.7392 5.7084 3.7497
Br 3.8308 6.0879 7.7312
Br 1.2578 3.0485 6.5776
Br 6.4954 7.4674 10.4256
Ag 5.3326 4.9330 9.6306
Ag 6.3991 6.8474 7.5953
V 5.7471 0.2386 3.2353
```

Output
ΔE_f (raw)	-533	meV/atom
raw total energy	-0.2522	Ry/atom
energy above the lowest structure with this stoichiometry	0	meV/atom
spin magnetization	0.2500	μB/atom

***

Computed, not measured: a relaxed VAg2Br crystal at the PBE-GGA level of DFT.

Geometry as extended XYZ:
```
4
Lattice="0.0000 3.4531 3.4531 3.4531 0.0000 3.4531 3.4531 3.4531 0.0000" Properties=species:S:1:pos:R:3 pbc="T T T"
Br 3.4531 3.4531 3.4531
Ag 5.1797 5.1797 5.1797
Ag 1.7266 1.7266 1.7266
V 0.0000 0.0000 0.0000
```

Output
ΔE_f (raw)	726	meV/atom
raw total energy	-0.2497	Ry/atom
energy above the lowest structure with this stoichiometry	219	meV/atom
spin magnetization	0.8744	μB/atom

***

Computed, not measured: a relaxed V2AgBr crystal at the PBE-GGA level of DFT.

Geometry as extended XYZ:
```
4
Lattice="-3.4698 0.0731 2.8997 -0.3234 3.3179 3.0561 -3.2235 3.1455 -0.4098" Properties=species:S:1:pos:R:3 pbc="T T T"
Ag -3.5083 3.2683 2.7730
Br 0.0000 0.0000 0.0000
V -1.7542 1.6341 1.3865
V -5.2625 4.9024 4.1595
```

Output
ΔE_f (raw)	794	meV/atom
raw total energy	-0.3599	Ry/atom
energy above the lowest structure with this stoichiometry	0	meV/atom
spin magnetization	0.6284	μB/atom

***

Computed, not measured: a relaxed VAgBr2 crystal at the PBE-GGA level of DFT.

Geometry as extended XYZ:
```
8
Lattice="-2.7109 4.5142 -3.5706 -1.2750 -4.3198 -4.4933 -7.1951 -1.0141 -1.4875" Properties=species:S:1:pos:R:3 pbc="T T T"
V -1.9929 0.0972 -4.0320
V -5.2315 -2.6183 -5.0064
Br -8.8491 -0.4723 -8.0487
Br -6.9258 -0.8057 -4.2624
Br -3.5783 1.9045 -3.0676
Br -3.0086 -2.2657 -3.7241
Ag 0.0000 0.0000 0.0000
Ag -5.9494 1.7987 -4.5450
```

Output
ΔE_f (raw)	30	meV/atom
raw total energy	-0.2792	Ry/atom
energy above the lowest structure with this stoichiometry	269	meV/atom
spin magnetization	0.9526	μB/atom

***

Computed, not measured: a relaxed V2AgBr8 crystal at the PBE-GGA level of DFT.

Geometry as extended XYZ:
```
11
Lattice="6.6328 0.1343 0.1019 0.2273 8.2568 0.0977 0.2273 2.3174 7.9255" Properties=species:S:1:pos:R:3 pbc="T T T"
Br 2.3498 8.7032 6.6036
Br 5.2600 6.1221 0.8769
Br 5.4419 6.9488 5.2725
Br 1.6455 3.7597 2.8527
Br 5.2600 2.4930 5.6598
Br 1.8275 8.2155 2.4653
Br 1.8275 4.5864 7.2483
Br 4.7376 2.0053 1.5215
V 4.6893 8.6914 6.5947
V 2.3982 2.0170 1.5304
Ag 0.0000 0.0000 0.0000
```

Output
ΔE_f (raw)	-692	meV/atom
raw total energy	-0.2812	Ry/atom
spin magnetization	0.2727	μB/atom

***

Computed, not measured: a relaxed VAgBr2 crystal at the PBE-GGA level of DFT.

Geometry as extended XYZ:
```
4
Lattice="4.6347 5.4701 7.6388 7.0068 5.9988 4.9673 4.0852 8.1054 5.2314" Properties=species:S:1:pos:R:3 pbc="T T T"
Ag 0.0000 0.0000 0.0000
Br 13.8993 17.2998 15.7648
Br 1.8274 2.2745 2.0727
V 7.8634 9.7872 8.9188
```

Output
ΔE_f (raw)	-238	meV/atom
raw total energy	-0.2989	Ry/atom
energy above the lowest structure with this stoichiometry	0	meV/atom
spin magnetization	0.7348	μB/atom

***

Computed, not measured: a relaxed VAg2Br5 crystal at the PBE-GGA level of DFT.

Geometry as extended XYZ:
```
8
Lattice="7.5737 -0.1675 0.0089 -0.1658 7.9357 -0.0031 -3.6984 -3.8864 5.5028" Properties=species:S:1:pos:R:3 pbc="T T T"
Br 5.7542 6.3808 1.3781
Br 3.7160 3.8695 3.3509
Br 1.5088 5.9389 0.2803
Br 5.9004 1.8266 0.2635
Br 1.6463 1.3920 1.3732
Ag -0.0844 3.9676 0.4467
Ag 3.7899 -0.0711 1.2849
V 0.0011 -0.0034 0.1957
```

Output
ΔE_f (raw)	-511	meV/atom
raw total energy	-0.2506	Ry/atom
energy above the lowest structure with this stoichiometry	22	meV/atom
spin magnetization	0.2500	μB/atom

***

Computed, not measured: a relaxed ZrVAg2Br crystal at the PBE-GGA level of DFT.

Geometry as extended XYZ:
```
5
Lattice="-3.2796 -0.9493 3.7507 2.9158 -3.3651 1.6979 2.3104 3.4634 2.8968" Properties=species:S:1:pos:R:3 pbc="T T T"
Ag -1.6398 -0.4746 1.8753
Ag 1.1552 1.7317 1.4484
Br 0.9733 -0.4255 4.1727
Zr 1.4579 -1.6826 0.8489
V 0.0000 0.0000 0.0000
```

Output
ΔE_f (raw)	851	meV/atom
raw total energy	-0.3055	Ry/atom
spin magnetization	0.2161	μB/atom